VASP calculation (PBE with a Hubbard U) on a relaxed structure of Sr2AlCo2O6.

Summary:
N(E_F) = 0.01 states/eV per atom
electronic total energy = -6.223 eV per atom
crystal system = trigonal
size of the total moment = 7.0 μB/f.u.

Unit cell a=5.7153 b=5.7153 c=15.2394 alpha=90.00 beta=90.00 gamma=120.00
Space group R-3m (No. 166, hexagonal axes)
One atom of each set of equivalent atoms:
Sr (0.0000, 0.0000, 0.2196) x6
Al (0.0000, 0.0000, 0.0000) x3
Co (0.0000, 0.0000, 0.4290) x6
O (0.0280, 0.5140, 0.7450) x18